No. 1
{
  "formula": "Mn2AlIr",
  "functional": "PBE",
  "state": "optimized geometry",
  "delta_e_f_ev_per_atom": -0.053,
  "dos_at_fermi_per_ev_cell": 3.64,
  "energy_ev_per_atom": -7.788,
  "cell": [[8.556, -0.011, -0.006], [8.137, 2.645, -0.006], [8.137, 1.284, 2.312]],
  "species": ["Mn", "Al", "Ir", "Mn"],
  "frac_coords": [[0.000, 0.000, 0.000], [0.250, 0.250, 0.250], [0.750, 0.750, 0.750], [0.500, 0.500, 0.500]]
}


No. 2
{
  "formula": "MnAlIr2",
  "functional": "PBE",
  "state": "optimized geometry",
  "delta_e_f_ev_per_atom": -0.355,
  "dos_at_fermi_per_ev_cell": 3.64,
  "energy_ev_per_atom": -8.013,
  "cell": [[-0.144, 5.058, 0.999], [-2.016, 3.231, -3.478], [-0.770, -4.084, 3.054]],
  "species": ["Ir", "Ir", "Mn", "Al"],
  "frac_coords": [[0.743, 0.243, 0.500], [0.010, 0.010, 0.000], [0.497, 0.497, 0.000], [0.249, 0.749, 0.500]]
}